VRuO2: optimized geometry, GGA+U.

abc: 3.8655 3.8655 3.8655
angles: 60.00 60.00 60.00
With the nearest neighbours (Å) after each atom.
Element x y z (fractional)
O1 0.7500 0.7500 0.7500  4 V 2.37, 4 Ru 2.37
O2 0.2500 0.2500 0.2500  4 Ru 2.37, 4 V 2.37
V1 0.0000 0.0000 0.0000  8 O 2.37
Ru1 0.5000 0.5000 0.5000  8 O 2.37

## Properties
For the calculated volume, the calculation gives 40.8 Å³/f.u. The value obtained for the total magnetic moment is 1.2 Bohr magnetons per cell. The total energy is -27.15 eV/cell. As for the calculated density: 7.5 g cm⁻³. The energy above the most stable polymorph in this dataset is 3.83 eV per formula unit.